Material: HfScBe
Method: DFT, PBE-GGA
State: relaxed

Calculated values
* total DFT energy (no corrections): -6.3924 eV per atom
* E_form: 0.28 eV per atom
* energy above the lowest structure with this stoichiometry: 266.1 meV per atom
* symmetry: No. 129

Structure (POSCAR):
```
HfScBe
1.0
4.3703 0.0000 0.0000
0.0000 4.3703 0.0000
0.0000 0.0000 6.1954
Hf Sc Be
2 2 2
direct
0.2500 0.7500 0.0000 Hf
0.7500 0.2500 0.0000 Hf
0.2500 0.7500 0.5000 Sc
0.7500 0.2500 0.5000 Sc
0.2500 0.2500 0.2399 Be
0.7500 0.7500 0.7601 Be
```


Material: HfScBe10
Method: DFT, PBE-GGA
State: relaxed

Calculated values
* total DFT energy (no corrections): -4.6938 eV per atom
* E_form: -0.23 eV per atom
* symmetry: No. 47

Structure (POSCAR):
```
HfScBe10
1.0
3.4816 0.0000 0.0000
0.0000 4.5188 0.0000
0.0000 0.0000 7.8377
Hf Sc Be
1 1 10
direct
0.0000 0.0000 0.0000 Hf
0.0000 0.5000 0.5000 Sc
0.0000 0.0000 0.3321 Be
0.0000 0.0000 0.6679 Be
0.0000 0.5000 0.1675 Be
0.0000 0.5000 0.8325 Be
0.5000 0.0000 0.5000 Be
0.5000 0.2457 0.2460 Be
0.5000 0.2457 0.7540 Be
0.5000 0.5000 0.0000 Be
0.5000 0.7543 0.2460 Be
0.5000 0.7543 0.7540 Be
```


Material: Hf2ScBeSe
Method: DFT, PBE-GGA
State: relaxed

Calculated values
* total DFT energy (no corrections): -5.4470 eV per atom
* energy relative to the elements, uncorrected: 1.24 eV/atom
* symmetry: No. 123

Structure (POSCAR):
```
Hf2ScBeSe
1.0
5.0808 0.0000 0.0000
0.0000 5.0808 0.0000
0.0000 0.0000 4.8366
Hf Sc Be Se
2 1 1 1
direct
0.0000 0.5000 0.0000 Hf
0.5000 0.0000 0.0000 Hf
0.0000 0.0000 0.0000 Sc
0.5000 0.5000 0.5000 Be
0.0000 0.0000 0.5000 Se
```


Material: HfSc2BeTc
Method: DFT, PBE-GGA
State: relaxed

Calculated values
* total DFT energy (no corrections): -5.9362 eV per atom
* E_form: 1.41 eV per atom
* symmetry: No. 123

Structure (POSCAR):
```
HfSc2BeTc
1.0
5.1977 0.0000 0.0000
0.0000 5.1977 0.0000
0.0000 0.0000 4.6018
Hf Sc Be Tc
1 2 1 1
direct
0.0000 0.0000 0.0000 Hf
0.0000 0.5000 0.0000 Sc
0.5000 0.0000 0.0000 Sc
0.5000 0.5000 0.5000 Be
0.0000 0.0000 0.5000 Tc
```


Material: HfScBeZn
Method: DFT, PBE-GGA
State: relaxed

Calculated values
* total DFT energy (no corrections): -5.4383 eV per atom
* E_form: -0.12 eV per atom
* symmetry: No. 216

Structure (POSCAR):
```
HfScBeZn
1.0
0.0000 3.2411 3.2411
3.2411 0.0000 3.2411
3.2411 3.2411 0.0000
Hf Sc Be Zn
1 1 1 1
direct
0.0000 0.0000 0.0000 Hf
0.5000 0.5000 0.5000 Sc
0.2500 0.2500 0.2500 Be
0.7500 0.7500 0.7500 Zn
```


Material: Hf2BeSe
Method: DFT, PBE-GGA
State: relaxed

Calculated values
* total DFT energy (no corrections): -7.3088 eV per atom
* energy above the lowest structure with this stoichiometry: 0.0 meV per atom
* energy relative to the elements, uncorrected: -0.53 eV/atom
* symmetry: No. 166

Structure (POSCAR):
```
Hf2BeSe
1.0
1.8049 1.0421 6.4088
-1.8049 1.0421 6.4088
0.0000 -2.0841 6.4088
Hf Be Se
2 1 1
direct
0.2392 0.2392 0.2392 Hf
0.7608 0.7608 0.7608 Hf
0.5000 0.5000 0.5000 Be
0.0000 0.0000 0.0000 Se
```


Material: HfBe2Se
Method: DFT, PBE-GGA
State: relaxed

Calculated values
* total DFT energy (no corrections): -5.0953 eV per atom
* energy relative to the elements, uncorrected: 0.13 eV/atom
* symmetry: No. 122

Structure (POSCAR):
```
HfBe2Se
1.0
-3.4307 3.4307 2.6044
3.4307 -3.4307 2.6044
3.4307 3.4307 -2.6044
Hf Be Se
2 4 2
direct
0.0000 0.0000 0.0000 Hf
0.7500 0.2500 0.5000 Hf
0.1687 0.6250 0.0437 Be
0.3750 0.4187 0.5437 Be
0.5813 0.1250 0.9563 Be
0.8750 0.8313 0.4563 Be
0.2500 0.7500 0.5000 Se
0.5000 0.5000 0.0000 Se
```


Material: HfBeSe3
Method: DFT, PBE-GGA
State: relaxed

Calculated values
* total DFT energy (no corrections): -4.8514 eV per atom
* energy above the lowest structure with this stoichiometry: 0.0 meV per atom
* energy relative to the elements, uncorrected: -0.02 eV/atom
* symmetry: No. 221

Structure (POSCAR):
```
HfBeSe3
1.0
4.5681 0.0000 0.0000
0.0000 4.5681 0.0000
0.0000 0.0000 4.5681
Hf Be Se
1 1 3
direct
0.0000 0.0000 0.0000 Hf
0.5000 0.5000 0.5000 Be
0.0000 0.5000 0.5000 Se
0.5000 0.0000 0.5000 Se
0.5000 0.5000 0.0000 Se
```